ThGaAu3 | GGA-PBE | relaxed

- DOS(E_F) (states/eV/atom) = 0.62
- total DFT energy (no corrections) (eV/atom) = -4.4622
- energy of formation (meV/atom) = -406
- ΔE to the lowest computed polymorph (meV per atom) = 145.3
- space group = Cmmm

Geometry as extended XYZ:
```
10
Lattice="3.9933 0.0000 0.0000 0.0000 4.5361 0.0000 0.0000 -2.2680 12.2021" Properties=species:S:1:pos:R:3 pbc="T T T"
Th 1.9966 2.2680 8.0703
Th 1.9966 0.0000 4.1317
Ga 0.0000 2.2680 2.8415
Ga 0.0000 0.0000 9.3606
Au 0.0000 0.0000 1.4502
Au 0.0000 2.2680 10.7518
Au 0.0000 0.0000 6.8551
Au 0.0000 2.2680 5.3469
Au 1.9966 0.0000 10.8570
Au 1.9966 2.2680 1.3450
```